[1]
The following is a DFT calculation (GGA-PBE) of crystalline LaOsCl at its relaxed geometry.

Summary:
As for the total energy: -7.167 eV per atom. For the polymorph energy (0 for the lowest one), the calculation gives 0 meV per atom. As for the raw formation energy: -1.17 eV/atom. As for the total moment: 0.00 Bohr magnetons per cell. The crystal system is monoclinic.

a b c (Å): 7.3073 4.3171 11.0994
angles (deg): 90.00 92.34 90.00
With the nearest neighbours (Å) after each atom.
Fractional positions:
La (0.0126, 0.0000, 0.1919)  3 Cl 2.98-3.00, 4 Os 3.12-3.28
La (0.4874, 0.5000, 0.8081)  3 Cl 2.98-3.00, 4 Os 3.12-3.28
La (0.5126, 0.5000, 0.1919)  3 Cl 2.98-3.00, 4 Os 3.12-3.28
La (0.9874, 0.0000, 0.8081)  3 Cl 2.98-3.00, 4 Os 3.12-3.28
Os (0.1724, 0.5000, 0.9898)  3 Os 2.44-2.54
Os (0.3276, 0.0000, 0.0102)  3 Os 2.44-2.54
Os (0.6724, 0.0000, 0.9898)  3 Os 2.44-2.54
Os (0.8276, 0.5000, 0.0102)  3 Os 2.44-2.54
Cl (0.1825, 0.5000, 0.3444)  3 La 2.98-3.00
Cl (0.3175, 0.0000, 0.6556)  3 La 2.98-3.00
Cl (0.6825, 0.0000, 0.3444)  3 La 2.98-3.00
Cl (0.8175, 0.5000, 0.6556)  3 La 2.98-3.00

[2]
The following is a DFT calculation (GGA-PBE) of crystalline La7Ag2Ru2 at its relaxed geometry.

Summary:
As for the total energy: -5.565 eV per atom. For the polymorph energy (0 for the lowest one), the calculation gives 0 meV per atom. As for the total moment: 0.00 Bohr magnetons per cell. The crystal system is orthorhombic.

a b c (Å): 9.7473 9.7473 9.7473
angles (deg): 156.22 67.51 117.86
With the nearest neighbours (Å) after each atom.
Fractional positions:
La (0.0000, 0.0000, 0.0000)  3 Ag 3.23-3.32
La (0.0636, 0.3831, 0.6805)  2 Ru 2.97, 1 Ag 3.27
La (0.0788, 0.7307, 0.3482)  2 Ru 3.01, 2 Ag 3.30
La (0.3825, 0.7307, 0.6518)  2 Ru 3.01, 2 Ag 3.30
La (0.4500, 0.5766, 0.8735)  2 Ru 2.85
La (0.7027, 0.3831, 0.3195)  2 Ru 2.97, 1 Ag 3.27
La (0.7031, 0.5766, 0.1265)  2 Ru 2.85
Ag (0.3213, 0.3213, 0.0000)  7 La 3.23-3.30
Ag (0.7370, 0.2370, 0.5000)  8 La 3.27-3.32
Ru (0.3191, 0.0706, 0.2485)  6 La 2.85-3.01
Ru (0.8221, 0.0706, 0.7515)  6 La 2.85-3.01